# PBE SmZn2Co, relaxed
data_SmZn2Co
_cell_length_a 14.696
_cell_length_b 7.256
_cell_length_c 5.291
_cell_angle_alpha 90.00
_cell_angle_beta 90.00
_cell_angle_gamma 90.00
_space_group_name_H-M_alt 'P n m a'
_space_group_IT_number 62
loop_
_space_group_symop_operation_xyz
'x,y,z'
'-x,-y,-z'
'-x+1/2,-y,z+1/2'
'x+1/2,y,-z+1/2'
'x+1/2,-y+1/2,-z+1/2'
'-x+1/2,y+1/2,z+1/2'
'-x,y+1/2,-z'
'x,-y+1/2,z'
loop_
_atom_site_label
_atom_site_type_symbol
_atom_site_fract_x
_atom_site_fract_y
_atom_site_fract_z
Sm1 Sm 0.102 0.250 0.250
Sm2 Sm 0.138 0.750 0.048
Zn1 Zn 0.043 0.060 0.734
Zn2 Zn 0.210 0.550 0.564
Co1 Co 0.071 0.750 0.514
Co2 Co 0.191 0.250 0.800
# Total DFT energy (no corrections) = -3.848 eV per atom

***

# PBE Sr2MgSe, relaxed
data_Sr2MgSe
_cell_length_a 4.1799
_cell_length_b 4.1799
_cell_length_c 29.7782
_cell_angle_alpha 90.00
_cell_angle_beta 90.00
_cell_angle_gamma 120.00
_space_group_name_H-M_alt 'R 3 m'
_space_group_IT_number 160
_space_group_name_Hall 'R 3 -2"'
loop_
_atom_site_label
_atom_site_type_symbol
_atom_site_fract_x
_atom_site_fract_y
_atom_site_fract_z
Sr1 Sr 0.0000 0.0000 0.0000
Sr2 Sr 0.0000 0.0000 0.2109
Mg1 Mg 0.0000 0.0000 0.7619
Se1 Se 0.0000 0.0000 0.4780
# Raw formation energy = -0.71 eV/atom
# Relative energy among the computed polymorphs = 185 meV per atom

***

# PBE Ca3AcRh8, relaxed
data_Ca3AcRh8
_cell_length_a 5.4042
_cell_length_b 5.4042
_cell_length_c 26.6059
_cell_angle_alpha 90.00
_cell_angle_beta 90.00
_cell_angle_gamma 120.00
_space_group_name_H-M_alt 'R 3 m'
_space_group_IT_number 160
_space_group_name_Hall 'R 3 -2"'
loop_
_atom_site_label
_atom_site_type_symbol
_atom_site_fract_x
_atom_site_fract_y
_atom_site_fract_z
Ca1 Ca 0.0000 0.0000 0.0000
Ca2 Ca 0.0000 0.0000 0.1217
Ca3 Ca 0.0000 0.0000 0.4931
Ac1 Ac 0.0000 0.0000 0.6206
Rh1 Rh 0.0000 0.0000 0.3091
Rh2 Rh 0.0000 0.0000 0.8084
Rh3 Rh 0.9996 0.4998 0.5573
Rh4 Rh 0.0013 0.5006 0.0597
# Total DFT energy (no corrections) = -6.210 eV per atom